AgSb3 | GGA-PBE | relaxed

energy above the most stable polymorph in this dataset = 0.169 eV per atom
E = -3.54 eV/atom
spin magnetization = 0.00 Bohr magnetons per cell
volume = 25.49 Å³/atom
DOS at the Fermi energy = 1.9 states/eV/f.u.
formation energy from raw total energies = 1.05 eV/f.u.

Lattice parameters (Å, degrees): 5.067 5.067 7.943 90.00 90.00 90.00
Space group I4/mmm (No. 139)
Inequivalent atoms, fractional coordinates:
Ag 0.000 0.000 0.000 x2
Sb 0.000 0.000 0.500 x2
Sb 0.000 0.500 0.250 x4



Ag8Sb | GGA-PBE | relaxed

E = -2.96 eV/atom
spin magnetization = 0.00 Bohr magnetons per cell
volume = 18.74 Å³/atom
DOS at the Fermi energy = 2.7 states/eV/f.u.
formation energy from raw total energies = 0.33 eV/f.u.

Lattice parameters (Å, degrees): 8.914 8.914 4.247 90.00 90.00 90.00
Space group I4/mmm (No. 139)
Inequivalent atoms, fractional coordinates:
Ag 0.000 0.337 0.000 x8
Ag 0.170 0.170 0.500 x8
Sb 0.000 0.000 0.000 x2



Ag3Sb | GGA-PBE | relaxed

E = -3.05 eV/atom
spin magnetization = 0.00 Bohr magnetons per cell
volume = 22.34 Å³/atom
DOS at the Fermi energy = 1.6 states/eV/f.u.
formation energy from raw total energies = 0.50 eV/f.u.

Lattice parameters (Å, degrees): 8.251 9.247 4.685 90.00 90.00 90.00
Space group Cmcm (No. 63)
Inequivalent atoms, fractional coordinates:
Ag 0.000 0.084 0.250 x4
Ag 0.171 0.195 0.750 x8
Sb 0.000 0.389 0.250 x4



AgSb3 | GGA-PBE | relaxed

energy above the most stable polymorph in this dataset = 0.022 eV per atom
E = -3.69 eV/atom
spin magnetization = 0.00 Bohr magnetons per cell
volume = 26.45 Å³/atom
DOS at the Fermi energy = 1.8 states/eV/f.u.
formation energy from raw total energies = 0.47 eV/f.u.

Lattice parameters (Å, degrees): 3.131 4.212 8.022 90.00 90.00 90.00
Space group Pmmm (No. 47)
Inequivalent atoms, fractional coordinates:
Ag 0.000 0.000 0.000 x1
Sb 0.500 0.000 0.500 x1
Sb 0.500 0.500 0.219 x2